Record 1
# ScOsC2

ScOsC2 after structural relaxation (PBE-GGA, the Alexandria database).

Calculated values
Calculated total energy   -8.4026 eV per atom
SG   Fm-3m
Formation energy from the elements   0.60 eV/atom
Excess energy over the best structure of this formula in the dataset   358 meV per atom

Lattice parameters (Å, degrees): 3.879 3.879 3.879 60.00 60.00 60.00
Fractional positions:
1 Sc 0.000 0.000 0.000
2 Os 0.500 0.500 0.500
3 C 0.250 0.250 0.250
4 C 0.750 0.750 0.750

=====

Record 2
# NdTmSc

NdTmSc after structural relaxation (PBE-GGA, the Alexandria database).

Calculated values
Calculated total energy   -5.1370 eV per atom
SG   I4mm
Formation energy from the elements   0.05 eV/atom
Excess energy over the best structure of this formula in the dataset   1 meV per atom

Lattice parameters (Å, degrees): 7.715 7.715 7.715 153.79 153.79 37.41
Fractional positions:
1 Nd 0.000 0.000 0.000
2 Tm 0.322 0.322 0.000
3 Sc 0.665 0.665 0.000

=====

Record 3
# Be2B

Be2B after structural relaxation (PBE-GGA, the Alexandria database).

Calculated values
Calculated total energy   -4.6554 eV per atom
SG   Immm
Formation energy from the elements   0.05 eV/atom
Excess energy over the best structure of this formula in the dataset   77 meV per atom

Lattice parameters (Å, degrees): 3.361 3.361 3.361 134.21 120.03 78.59
Fractional positions:
1 Be 0.208 0.208 0.000
2 Be 0.792 0.792 0.000
3 B 0.500 0.000 0.500

=====

Record 4
# Li2Ac3Mg5

Li2Ac3Mg5 after structural relaxation (PBE-GGA, the Alexandria database).

Calculated values
Calculated total energy   -2.4607 eV per atom
SG   P4/mbm
Formation energy from the elements   -0.05 eV/atom

Lattice parameters (Å, degrees): 11.385 11.385 4.569 90.00 90.00 90.00
Fractional positions:
1 Li 0.109 0.391 0.000
2 Li 0.391 0.891 0.000
3 Li 0.609 0.109 0.000
4 Li 0.891 0.609 0.000
5 Ac 0.000 0.000 0.000
6 Ac 0.183 0.683 0.000
7 Ac 0.317 0.183 0.000
8 Ac 0.500 0.500 0.000
9 Ac 0.683 0.817 0.000
10 Ac 0.817 0.317 0.000
11 Mg 0.000 0.500 0.500
12 Mg 0.061 0.227 0.500
13 Mg 0.227 0.939 0.500
14 Mg 0.273 0.439 0.500
15 Mg 0.439 0.727 0.500
16 Mg 0.500 0.000 0.500
17 Mg 0.561 0.273 0.500
18 Mg 0.727 0.561 0.500
19 Mg 0.773 0.061 0.500
20 Mg 0.939 0.773 0.500

=====

Record 5
# CeY3Bi3

CeY3Bi3 after structural relaxation (PBE-GGA, the Alexandria database).

Calculated values
Calculated total energy   -5.8977 eV per atom
SG   P6_3/m
Formation energy from the elements   -0.62 eV/atom

Lattice parameters (Å, degrees): 9.271 9.271 5.854 90.00 90.00 120.00
Fractional positions:
1 Ce 0.333 0.667 0.250
2 Ce 0.667 0.333 0.750
3 Y 0.017 0.247 0.250
4 Y 0.229 0.983 0.250
5 Y 0.247 0.229 0.750
6 Y 0.753 0.771 0.250
7 Y 0.771 0.017 0.750
8 Y 0.983 0.753 0.750
9 Bi 0.064 0.429 0.750
10 Bi 0.365 0.936 0.750
11 Bi 0.429 0.365 0.250
12 Bi 0.571 0.635 0.750
13 Bi 0.635 0.064 0.250
14 Bi 0.936 0.571 0.250

=====

Record 6
# Er12Ag3O5

Er12Ag3O5 after structural relaxation (PBE-GGA, the Alexandria database).

Calculated values
Calculated total energy   -5.8910 eV per atom
SG   Ia-3d
Uncorrected formation energy   -2868 kJ/mol of formula units

Lattice parameters (Å, degrees): 13.198 13.198 13.198 109.47 109.47 109.47
Fractional positions:
1 Er 0.013 0.201 0.109
2 Er 0.013 0.312 0.904
3 Er 0.091 0.701 0.688
4 Er 0.091 0.891 0.404
5 Er 0.096 0.609 0.409
6 Er 0.096 0.987 0.688
7 Er 0.109 0.013 0.201
8 Er 0.109 0.596 0.909
9 Er 0.188 0.201 0.591
10 Er 0.188 0.487 0.596
11 Er 0.201 0.109 0.013
12 Er 0.201 0.591 0.188
13 Er 0.299 0.312 0.909
14 Er 0.299 0.487 0.391
15 Er 0.312 0.904 0.013
16 Er 0.312 0.909 0.299
17 Er 0.391 0.299 0.487
18 Er 0.391 0.591 0.904
19 Er 0.404 0.091 0.891
20 Er 0.404 0.812 0.513
21 Er 0.409 0.096 0.609
22 Er 0.409 0.812 0.799
23 Er 0.487 0.391 0.299
24 Er 0.487 0.596 0.188
25 Er 0.513 0.404 0.812
26 Er 0.513 0.609 0.701
27 Er 0.591 0.188 0.201
28 Er 0.591 0.904 0.391
29 Er 0.596 0.188 0.487
30 Er 0.596 0.909 0.109
31 Er 0.609 0.409 0.096
32 Er 0.609 0.701 0.513
33 Er 0.688 0.091 0.701
34 Er 0.688 0.096 0.987
35 Er 0.701 0.513 0.609
36 Er 0.701 0.688 0.091
37 Er 0.799 0.409 0.812
38 Er 0.799 0.891 0.987
39 Er 0.812 0.513 0.404
40 Er 0.812 0.799 0.409
41 Er 0.891 0.404 0.091
42 Er 0.891 0.987 0.799
43 Er 0.904 0.013 0.312
44 Er 0.904 0.391 0.591
45 Er 0.909 0.109 0.596
46 Er 0.909 0.299 0.312
47 Er 0.987 0.688 0.096
48 Er 0.987 0.799 0.891
49 Ag 0.125 0.250 0.375
50 Ag 0.125 0.375 0.750
51 Ag 0.250 0.375 0.125
52 Ag 0.250 0.875 0.625
53 Ag 0.375 0.125 0.250
54 Ag 0.375 0.750 0.125
55 Ag 0.625 0.250 0.875
56 Ag 0.625 0.875 0.750
57 Ag 0.750 0.125 0.375
58 Ag 0.750 0.625 0.875
59 Ag 0.875 0.625 0.250
60 Ag 0.875 0.750 0.625
61 O 0.000 0.000 0.000
62 O 0.000 0.000 0.500
63 O 0.000 0.500 0.000
64 O 0.000 0.500 0.500
65 O 0.125 0.750 0.875
66 O 0.125 0.875 0.250
67 O 0.250 0.125 0.875
68 O 0.250 0.625 0.375
69 O 0.375 0.250 0.625
70 O 0.375 0.625 0.750
71 O 0.500 0.000 0.000
72 O 0.500 0.000 0.500
73 O 0.500 0.500 0.000
74 O 0.500 0.500 0.500
75 O 0.625 0.375 0.250
76 O 0.625 0.750 0.375
77 O 0.750 0.375 0.625
78 O 0.750 0.875 0.125
79 O 0.875 0.125 0.750
80 O 0.875 0.250 0.125

=====

Record 7
# Ce4ZnGa3

Ce4ZnGa3 after structural relaxation (PBE-GGA, the Alexandria database).

Calculated values
Calculated total energy   -4.6490 eV per atom
SG   Pmmm
Formation energy from the elements   -0.39 eV/atom
Excess energy over the best structure of this formula in the dataset   0 meV per atom

Lattice parameters (Å, degrees): 3.583 5.173 10.351 90.00 90.00 90.00
Fractional positions:
1 Ce 0.000 0.000 0.000
2 Ce 0.000 0.000 0.500
3 Ce 0.000 0.500 0.248
4 Ce 0.000 0.500 0.752
5 Zn 0.500 0.500 0.500
6 Ga 0.500 0.000 0.255
7 Ga 0.500 0.000 0.745
8 Ga 0.500 0.500 0.000

=====

Copy entry 7 word for word.
# Ce4ZnGa3

Ce4ZnGa3 after structural relaxation (PBE-GGA, the Alexandria database).

Calculated values
Calculated total energy   -4.6490 eV per atom
SG   Pmmm
Formation energy from the elements   -0.39 eV/atom
Excess energy over the best structure of this formula in the dataset   0 meV per atom

Lattice parameters (Å, degrees): 3.583 5.173 10.351 90.00 90.00 90.00
Fractional positions:
1 Ce 0.000 0.000 0.000
2 Ce 0.000 0.000 0.500
3 Ce 0.000 0.500 0.248
4 Ce 0.000 0.500 0.752
5 Zn 0.500 0.500 0.500
6 Ga 0.500 0.000 0.255
7 Ga 0.500 0.000 0.745
8 Ga 0.500 0.500 0.000